--- i ---
A geometry-optimized Tm2SnO structure, computed with PBE-GGA.

The crystal system is tetragonal. The calculation puts the magnetic moment at 0.00 μB per formula unit.

The space group is P4/nmm (No. 129, origin choice 2) and the conventional cell measures 4.441, 4.441 and 8.627 Å, with angles of 90.00, 90.00 and 90.00 degrees. Symmetry generates all atoms from Tm at (0.250, 0.250, 0.168), Tm at (0.250, 0.750, 0.500), Sn at (0.250, 0.250, 0.800) and O at (0.250, 0.250, 0.429).

=====

--- ii ---
A geometry-optimized Tm2SnO structure, computed with PBE-GGA.

The crystal system is trigonal. The calculation puts the magnetic moment at 0.00 μB per formula unit.

The space group is R-3m (No. 166, hexagonal axes) and the conventional cell measures 3.4822, 3.4822 and 22.5217 Å, with angles of 90.00, 90.00 and 120.00 degrees. Symmetry generates all atoms from Tm at (0.0000, 0.0000, 0.2240), Sn at (0.0000, 0.0000, 0.0000) and O at (0.0000, 0.0000, 0.5000).

=====

--- iii ---
A geometry-optimized Tm2SnO structure, computed with PBE-GGA.

The crystal system is orthorhombic. The calculation puts the magnetic moment at 0.00 μB per formula unit.

The space group is Cmc2_1 (No. 36) and the conventional cell measures 3.492, 16.747 and 6.058 Å, with angles of 90.00, 90.00 and 90.00 degrees. Symmetry generates all atoms from Tm at (0.000, 0.071, 0.000), Tm at (0.000, 0.247, 0.636), Sn at (0.000, 0.406, 0.961) and O at (0.000, 0.198, 0.965).

=====

Verdict on stability: i comes out on top.

=====

--- i ---
A geometry-optimized Tm3SnO6 structure, computed with PBE-GGA.

The crystal system is orthorhombic. The calculation puts the magnetic moment at 0.00 μB per formula unit.

The space group is Cmc2_1 (No. 36) and the conventional cell measures 8.830, 11.066 and 5.588 Å, with angles of 90.00, 90.00 and 90.00 degrees. Symmetry generates all atoms from Tm at (0.000, 0.099, 0.000), Tm at (0.198, 0.393, 0.056), Sn at (0.000, 0.329, 0.567), O at (0.000, 0.276, 0.200), O at (0.000, 0.482, 0.830), O at (0.161, 0.019, 0.275) and O at (0.162, 0.236, 0.769).

=====

--- ii ---
A geometry-optimized Tm3SnO6 structure, computed with PBE-GGA.

The crystal system is trigonal. The calculation puts the magnetic moment at 0.00 μB per formula unit.

The space group is R-3 (No. 148, hexagonal axes) and the conventional cell measures 9.6241, 9.6241 and 10.9722 Å, with angles of 90.00, 90.00 and 120.00 degrees. Symmetry generates all atoms from Tm at (0.0414, 0.2660, 0.2063), Sn at (0.0000, 0.0000, 0.0000), Sn at (0.0000, 0.0000, 0.5000), O at (0.0294, 0.2428, 0.4038) and O at (0.0308, 0.1822, 0.8784).

=====

Verdict on stability: ii comes out on top.